An optimized crystal structure of TlSi2SbO8, computed with PBE.

Cell lengths 4.9412, 4.9412, 7.1667 Å; angles 94.43, 94.43, 67.22 degrees
Fractional coordinates of all 12 atoms:
O: 0.7698 0.7698 0.0417
O: 0.7065 0.2108 0.7944
O: 0.2108 0.7065 0.7944
O: 0.2453 0.2453 0.5718
O: 0.2935 0.7892 0.2056
O: 0.2302 0.2302 0.9583
O: 0.7892 0.2935 0.2056
O: 0.7547 0.7547 0.4282
Si: 0.3402 0.3402 0.7823
Si: 0.6598 0.6598 0.2177
Tl: 0.0000 0.0000 0.5000
Sb: 0.0000 0.0000 0.0000

Energy (eV/atom): -6.607
Space group: No. 12
Uncorrected formation energy (eV per formula unit): -22.29
Magnetic moment (μB/cell): 0.000
Mass density (Mg/m³): 5.28



An optimized crystal structure of CsLaSn2I8, computed with PBE.

Cell lengths 7.9751, 7.5149, 10.3303 Å; angles 84.54, 83.83, 87.33 degrees
Fractional coordinates of all 12 atoms:
Sn: 0.4885 0.4802 0.7452
Sn: 0.5115 0.5198 0.2548
Cs: 0.0000 0.0000 0.5000
I: 0.3917 0.2618 0.5454
I: 0.1536 0.7332 0.2176
I: 0.8464 0.2668 0.7824
I: 0.3314 0.2376 0.9802
I: 0.6083 0.7382 0.4546
I: 0.8367 0.2555 0.2103
I: 0.1633 0.7445 0.7897
I: 0.6686 0.7624 0.0198
La: 0.0000 0.0000 0.0000

Energy (eV/atom): -3.152
Space group: No. 2
Uncorrected formation energy (eV per formula unit): -11.63
Magnetic moment (μB/cell): 0.000
Mass density (Mg/m³): 4.13
DOS(E_F) (states/eV per atom): 0.000



An optimized crystal structure of AgHgSbO2, computed with PBE.

Cell lengths 4.1635, 5.4068, 4.1635 Å; angles 90.00, 90.00, 90.00 degrees
Fractional coordinates of all 5 atoms:
O: 0.0000 0.0000 0.5000
O: 0.5000 0.0000 0.0000
Sb: 0.5000 0.5000 0.5000
Hg: 0.0000 0.5000 0.0000
Ag: 0.0000 0.0000 0.0000

Energy (eV/atom): -3.001
Space group: No. 123
Uncorrected formation energy (eV per formula unit): 2.18
Magnetic moment (μB/cell): 0.000
Mass density (Mg/m³): 8.19
DOS(E_F) (states/eV per atom): 0.693



An optimized crystal structure of Ce5PaTc4, computed with PBE.

Cell lengths 4.1270, 7.4419, 8.6223 Å; angles 102.95, 103.85, 90.00 degrees
Fractional coordinates of all 10 atoms:
Tc: 0.9837 0.2446 0.9675
Tc: 0.0163 0.7554 0.0325
Tc: 0.6831 0.1737 0.3662
Tc: 0.3169 0.8263 0.6338
Ce: 0.8287 0.6401 0.6575
Ce: 0.1672 0.8547 0.3344
Ce: 0.5000 0.5000 0.0000
Ce: 0.1713 0.3599 0.3425
Ce: 0.8328 0.1453 0.6656
Pa: 0.5000 0.0000 0.0000

Energy (eV/atom): -8.059
Space group: No. 12
Magnetic moment (μB/cell): 0.000
Mass density (Mg/m³): 8.79
ΔE_f (meV/atom): 3.7
DOS(E_F) (states/eV per atom): 1.175



An optimized crystal structure of Rb2BaLaS, computed with PBE.

Cell lengths 8.2020, 5.2872, 8.2020 Å; angles 90.00, 90.00, 90.00 degrees
Each line ends with the local moment (μB).
Fractional coordinates of all 5 atoms:
Rb: 0.0000 0.0000 0.5000  0.01
Rb: 0.5000 0.0000 0.0000  0.02
S: 0.0000 0.5000 0.0000  0.00
Ba: 0.5000 0.5000 0.5000  0.07
La: 0.0000 0.0000 0.0000  0.13

Energy (eV/atom): -2.685
Space group: No. 123
Uncorrected formation energy (eV per formula unit): -0.51
Magnetic moment (μB/cell): 1.026
Mass density (Mg/m³): 2.24
DOS(E_F) (states/eV per atom): 1.334
Energy above the lowest structure with this stoichiometry (kJ/mol of formula units): 0



An optimized crystal structure of PuSc12Cd3, computed with PBE.

Cell lengths 4.5509, 4.5510, 18.0594 Å; angles 90.00, 90.00, 90.00 degrees
Each line ends with the local moment (μB).
Fractional coordinates of all 16 atoms:
Sc: 0.5000 0.5000 0.0000  -0.19
Sc: 0.0000 0.5000 0.6243  -0.18
Sc: 0.5000 0.5000 0.5000  -0.14
Sc: 0.0000 0.5000 0.8741  -0.28
Sc: 0.5000 0.5000 0.7468  -0.21
Sc: 0.0000 0.5000 0.1259  -0.28
Sc: 0.5000 0.0000 0.6243  -0.18
Sc: 0.0000 0.5000 0.3757  -0.18
Sc: 0.5000 0.0000 0.3757  -0.18
Sc: 0.5000 0.5000 0.2532  -0.21
Sc: 0.5000 0.0000 0.8741  -0.28
Sc: 0.5000 0.0000 0.1259  -0.28
Cd: 0.0000 0.0000 0.2531  0.01
Cd: 0.0000 0.0000 0.5000  0.00
Cd: 0.0000 0.0000 0.7469  0.01
Pu: 0.0000 0.0000 0.0000  -5.57

Energy (eV/atom): -5.877
Space group: No. 123
Magnetic moment (μB/cell): 10.034
Mass density (Mg/m³): 4.98
ΔE_f (meV/atom): -61.1
DOS(E_F) (states/eV per atom): 1.542



An optimized crystal structure of Ta2P2I, computed with PBE.

Cell lengths 4.3184, 4.3184, 6.3689 Å; angles 70.18, 70.18, 90.00 degrees
Fractional coordinates of all 5 atoms:
P: 0.7500 0.2500 0.5000
P: 0.2500 0.7500 0.5000
Ta: 0.6329 0.6329 0.7343
Ta: 0.3671 0.3671 0.2657
I: 0.0000 0.0000 0.0000

Energy (eV/atom): -7.102
Space group: No. 139
Uncorrected formation energy (eV per formula unit): 0.57
Magnetic moment (μB/cell): 0.000
Mass density (Mg/m³): 8.77
DOS(E_F) (states/eV per atom): 0.968
Energy above the lowest structure with this stoichiometry (kJ/mol of formula units): 135